No. 1
## Dy5Tl2Os (GGA-PBE)

Data for crystalline Dy5Tl2Os at its relaxed geometry.

a = 7.691 Å, b = 12.199 Å, c = 4.675 Å
α = 90.00°, β = 90.00°, γ = 90.00°
Space group Pbam (No. 55)
One atom of each set of equivalent atoms:
Dy 0.000 0.000 0.000 x2
Dy 0.141 0.296 0.000 x4
Dy 0.181 0.572 0.500 x4
Tl 0.075 0.832 0.500 x4
Os 0.000 0.500 0.000 x2

## Properties
* crystal system: orthorhombic
* uncorrected energy: -5.1744 eV/atom
* N(E_F): 14.19 states/eV per cell
* formation enthalpy at 0 K: -0.3028 eV per atom
* energy relative to the lowest polymorph listed for this composition: 0.000 eV/atom
* mass density: 10.7 g/cm3
* calculated volume: 27.42 Å³/atom

***

No. 2
## WN (GGA-PBE)

Data for crystalline WN at its relaxed geometry.

a = 5.730 Å, b = 5.730 Å, c = 3.147 Å
α = 90.00°, β = 90.00°, γ = 90.00°
Space group P4_2/mnm (No. 136)
One atom of each set of equivalent atoms:
W 0.214 0.214 0.000 x4
N 0.138 0.862 0.000 x4

## Properties
* crystal system: tetragonal
* uncorrected energy: -10.4687 eV/atom
* N(E_F): 3.13 states/eV per cell
* ΔE_f (raw): 0.171 eV/atom
* mass density: 12.7 g/cm3
* calculated volume: 12.91 Å³/atom

***

No. 3
## CuOs2Pt (GGA-PBE)

Data for crystalline CuOs2Pt at its relaxed geometry.

a = 5.539 Å, b = 5.539 Å, c = 10.921 Å
α = 90.00°, β = 90.00°, γ = 90.00°
Space group I-42d (No. 122)
One atom of each set of equivalent atoms:
Cu 0.000 0.000 0.000 x4
Os 0.243 0.250 0.125 x8
Pt 0.000 0.000 0.500 x4

## Properties
* crystal system: tetragonal
* uncorrected energy: -6.3434 eV/atom
* N(E_F): 26.30 states/eV per cell
* formation enthalpy at 0 K: 1.8057 eV per atom
* energy relative to the lowest polymorph listed for this composition: 1.718 eV/atom
* mass density: 12.7 g/cm3
* calculated volume: 20.94 Å³/atom

***

No. 4
## LaCr2Mo (GGA-PBE)

Data for crystalline LaCr2Mo at its relaxed geometry.

a = 6.444 Å, b = 6.444 Å, c = 6.444 Å
α = 90.00°, β = 90.00°, γ = 90.00°
Space group Fm-3m (No. 225)
One atom of each set of equivalent atoms:
La 0.000 0.000 0.000 x4
Cr 0.250 0.250 0.250 x8
Mo 0.000 0.000 0.500 x4

## Properties
* crystal system: cubic
* uncorrected energy: -8.0326 eV/atom
* N(E_F): 22.26 states/eV per cell
* formation enthalpy at 0 K: 0.7188 eV per atom
* energy relative to the lowest polymorph listed for this composition: 0.291 eV/atom
* mass density: 8.4 g/cm3
* calculated volume: 16.73 Å³/atom

***

No. 5
## LaHgBrO2 (GGA-PBE)

Data for crystalline LaHgBrO2 at its relaxed geometry.

a = 6.861 Å, b = 3.866 Å, c = 8.023 Å
α = 90.00°, β = 97.43°, γ = 90.00°
Space group P2_1/m (No. 11)
One atom of each set of equivalent atoms:
La 0.127 0.250 0.203 x2
Hg 0.375 0.250 0.836 x2
Br 0.231 0.750 0.547 x2
O 0.086 0.250 0.889 x2
O 0.326 0.750 0.161 x2

## Properties
* crystal system: monoclinic
* uncorrected energy: -5.2678 eV/atom
* N(E_F): 0.00 states/eV per cell
* ΔE_f (raw): -1.904 eV/atom
* mass density: 7.1 g/cm3
* calculated volume: 21.10 Å³/atom

***

No. 6
## LaGaPdRu2 (GGA-PBE)

Data for crystalline LaGaPdRu2 at its relaxed geometry.

a = 4.880 Å, b = 4.880 Å, c = 5.246 Å
α = 90.00°, β = 90.00°, γ = 90.00°
Space group P4/mmm (No. 123)
One atom of each set of equivalent atoms:
La 0.000 0.000 0.000 x1
Ga 0.500 0.500 0.000 x1
Pd 0.000 0.000 0.500 x1
Ru 0.000 0.500 0.500 x2

## Properties
* crystal system: tetragonal
* uncorrected energy: -5.3338 eV/atom
* N(E_F): 6.35 states/eV per cell
* formation enthalpy at 0 K: 1.0060 eV per atom
* mass density: 6.9 g/cm3
* calculated volume: 24.99 Å³/atom

***

No. 7
## Ac3InRuCl (GGA-PBE)

Data for crystalline Ac3InRuCl at its relaxed geometry.

a = 9.513 Å, b = 4.427 Å, c = 10.045 Å
α = 90.00°, β = 100.65°, γ = 90.00°
Space group P2_1/m (No. 11)
One atom of each set of equivalent atoms:
Ac 0.052 0.250 0.348 x2
Ac 0.233 0.250 0.941 x2
Ac 0.359 0.750 0.606 x2
In 0.289 0.750 0.239 x2
Ru 0.157 0.250 0.654 x2
Cl 0.437 0.750 0.899 x2

## Properties
* crystal system: monoclinic
* uncorrected energy: -4.9598 eV/atom
* N(E_F): 6.76 states/eV per cell
* ΔE_f (raw): -0.595 eV/atom
* mass density: 7.4 g/cm3
* calculated volume: 34.65 Å³/atom

***

No. 8
## CrSbIr2 (GGA-PBE)

Data for crystalline CrSbIr2 at its relaxed geometry.

a = 2.9268 Å, b = 2.9268 Å, c = 25.4454 Å
α = 90.00°, β = 90.00°, γ = 120.00°
Space group R3m (No. 160, hexagonal axes)
One atom of each set of equivalent atoms:
Cr 0.0000 0.0000 0.0000 x3
Sb 0.0000 0.0000 0.2495 x3
Ir 0.0000 0.0000 0.4992 x3
Ir 0.0000 0.0000 0.7426 x3

## Properties
* crystal system: trigonal
* uncorrected energy: -7.4876 eV/atom
* N(E_F): 7.99 states/eV per cell
* ΔE_f (raw): 0.379 eV/atom
* mass density: 14.7 g/cm3
* calculated volume: 15.73 Å³/atom

***

No. 9
## PmUTcRu (GGA-PBE)

Data for crystalline PmUTcRu at its relaxed geometry.

a = 6.862 Å, b = 6.862 Å, c = 6.862 Å
α = 90.00°, β = 90.00°, γ = 90.00°
Space group F-43m (No. 216)
One atom of each set of equivalent atoms:
Pm 0.000 0.000 0.000 x4
U 0.000 0.000 0.500 x4
Tc 0.250 0.250 0.750 x4
Ru 0.250 0.250 0.250 x4

## Properties
* crystal system: cubic
* uncorrected energy: -8.8539 eV/atom
* N(E_F): 37.31 states/eV per cell
* formation enthalpy at 0 K: 0.0663 eV per atom
* mass density: 12.0 g/cm3
* calculated volume: 20.20 Å³/atom

***

No. 10
## Nd2Sm5Dy5 (GGA-PBE)

Data for crystalline Nd2Sm5Dy5 at its relaxed geometry.

a = 15.280 Å, b = 5.086 Å, c = 11.399 Å
α = 90.00°, β = 116.57°, γ = 90.00°
Space group C2/m (No. 12)
One atom of each set of equivalent atoms:
Nd 0.083 0.000 0.251 x4
Sm 0.000 0.000 0.500 x2
Sm 0.166 0.000 0.999 x4
Sm 0.249 0.000 0.748 x4
Dy 0.000 0.500 0.000 x2
Dy 0.083 0.500 0.749 x4
Dy 0.167 0.500 0.501 x4

## Properties
* crystal system: monoclinic
* uncorrected energy: -4.6626 eV/atom
* N(E_F): 34.90 states/eV per cell
* formation enthalpy at 0 K: 0.0159 eV per atom
* mass density: 7.8 g/cm3
* calculated volume: 33.01 Å³/atom

***

No. 11
## LiTi2Pt2 (GGA-PBE)

Data for crystalline LiTi2Pt2 at its relaxed geometry.

a = 7.644 Å, b = 7.644 Å, c = 2.864 Å
α = 90.00°, β = 90.00°, γ = 90.00°
Space group P4/mbm (No. 127)
One atom of each set of equivalent atoms:
Li 0.000 0.000 0.000 x2
Ti 0.159 0.341 0.500 x4
Pt 0.138 0.638 0.000 x4

## Properties
* crystal system: tetragonal
* uncorrected energy: -6.6898 eV/atom
* N(E_F): 7.91 states/eV per cell
* formation enthalpy at 0 K: -0.7327 eV per atom
* energy relative to the lowest polymorph listed for this composition: 0.000 eV/atom
* mass density: 9.8 g/cm3
* calculated volume: 16.73 Å³/atom

***

No. 12
## RbSrRu2O8 (GGA-PBE)

Data for crystalline RbSrRu2O8 at its relaxed geometry.

a = 9.568 Å, b = 6.233 Å, c = 8.818 Å
α = 90.00°, β = 92.61°, γ = 90.00°
Space group C2/m (No. 12)
One atom of each set of equivalent atoms:
Rb 0.000 0.000 0.000 x2
Sr 0.000 0.000 0.500 x2
Ru 0.124 0.500 0.268 x4
O 0.020 0.264 0.285 x8
O 0.201 0.500 0.091 x4
O 0.248 0.500 0.422 x4

## Properties
* crystal system: monoclinic
* uncorrected energy: -6.4085 eV/atom
* N(E_F): 23.02 states/eV per cell
* ΔE_f (raw): -1.336 eV/atom
* mass density: 3.2 g/cm3
* calculated volume: 21.89 Å³/atom

***

No. 13
## LaPtCl (GGA-PBE)

Data for crystalline LaPtCl at its relaxed geometry.

a = 6.878 Å, b = 6.878 Å, c = 6.878 Å
α = 90.00°, β = 90.00°, γ = 90.00°
Space group F-43m (No. 216)
One atom of each set of equivalent atoms:
La 0.000 0.000 0.000 x4
Pt 0.250 0.250 0.250 x4
Cl 0.000 0.000 0.500 x4

## Properties
* crystal system: cubic
* uncorrected energy: -5.3366 eV/atom
* ΔE_f (raw): -1.065 eV/atom
* energy relative to the lowest polymorph listed for this composition: 0.603 eV/atom
* mass density: 7.5 g/cm3
* calculated volume: 27.11 Å³/atom

***

No. 14
## FeMo2P (GGA-PBE)

Data for crystalline FeMo2P at its relaxed geometry.

a = 2.857 Å, b = 4.272 Å, c = 8.672 Å
α = 90.00°, β = 90.00°, γ = 90.00°
Space group Imm2 (No. 44)
One atom of each set of equivalent atoms:
Fe 0.000 0.000 0.000 x2
Mo 0.000 0.000 0.562 x2
Mo 0.000 0.500 0.766 x2
P 0.000 0.500 0.299 x2

## Properties
* crystal system: orthorhombic
* uncorrected energy: -9.0634 eV/atom
* N(E_F): 5.45 states/eV per cell
* formation enthalpy at 0 K: -0.1797 eV per atom
* mass density: 8.7 g/cm3
* calculated volume: 13.23 Å³/atom

***

No. 15
## ZrV3Si2 (GGA-PBE)

Data for crystalline ZrV3Si2 at its relaxed geometry.

a = 13.099 Å, b = 4.056 Å, c = 7.788 Å
α = 90.00°, β = 117.72°, γ = 90.00°
Space group C2/m (No. 12)
One atom of each set of equivalent atoms:
Zr 0.146 0.000 0.058 x4
V 0.044 0.000 0.367 x4
V 0.079 0.500 0.667 x4
V 0.188 0.500 0.481 x4
Si 0.027 0.500 0.160 x4
Si 0.194 0.000 0.717 x4

## Properties
* crystal system: monoclinic
* uncorrected energy: -8.2922 eV/atom
* N(E_F): 14.00 states/eV per cell
* ΔE_f (raw): -0.501 eV/atom
* mass density: 5.4 g/cm3
* calculated volume: 15.26 Å³/atom

***

No. 16
## Pu3BiPb2 (GGA-PBE)

Data for crystalline Pu3BiPb2 at its relaxed geometry.

a = 3.490 Å, b = 3.490 Å, c = 14.039 Å
α = 90.00°, β = 90.00°, γ = 90.00°
Space group P4/mmm (No. 123)
One atom of each set of equivalent atoms:
Pu 0.000 0.000 0.000 x1
Pu 0.000 0.000 0.335 x2
Bi 0.500 0.500 0.500 x1
Pb 0.500 0.500 0.168 x2

## Properties
* crystal system: tetragonal
* uncorrected energy: -9.2761 eV/atom
* N(E_F): 21.92 states/eV per cell
* formation enthalpy at 0 K: -0.2272 eV per atom
* mass density: 13.2 g/cm3
* calculated volume: 28.49 Å³/atom

***

No. 17
## ScSiP4 (GGA-PBE)

Data for crystalline ScSiP4 at its relaxed geometry.

a = 7.208 Å, b = 7.208 Å, c = 7.208 Å
α = 90.00°, β = 90.00°, γ = 90.00°
Space group F-43m (No. 216)
One atom of each set of equivalent atoms:
Sc 0.000 0.000 0.000 x4
Si 0.250 0.250 0.750 x4
P 0.125 0.125 0.375 x16

## Properties
* crystal system: cubic
* uncorrected energy: -5.3338 eV/atom
* N(E_F): 16.47 states/eV per cell
* ΔE_f (raw): 0.232 eV/atom
* mass density: 3.5 g/cm3
* calculated volume: 15.60 Å³/atom

***

No. 18
## Li3Pa2AlN6 (GGA-PBE)

Data for crystalline Li3Pa2AlN6 at its relaxed geometry.

a = 5.515 Å, b = 10.432 Å, c = 5.309 Å
α = 90.00°, β = 104.88°, γ = 90.00°
Space group C2/m (No. 12)
One atom of each set of equivalent atoms:
Li 0.000 0.000 0.000 x2
Li 0.000 0.372 0.000 x4
Pa 0.000 0.163 0.500 x4
Al 0.000 0.500 0.500 x2
N 0.228 0.345 0.712 x8
N 0.248 0.500 0.278 x4

## Properties
* crystal system: monoclinic
* uncorrected energy: -7.3930 eV/atom
* N(E_F): 10.86 states/eV per cell
* ΔE_f (raw): -0.857 eV/atom
* mass density: 6.7 g/cm3
* calculated volume: 12.30 Å³/atom

***

No. 19
## IrC (GGA-PBE)

Data for crystalline IrC at its relaxed geometry.

a = 5.837 Å, b = 3.159 Å, c = 2.745 Å
α = 90.00°, β = 90.00°, γ = 90.00°
Space group Pmma (No. 51)
One atom of each set of equivalent atoms:
Ir 0.250 0.000 0.009 x2
C 0.250 0.500 0.413 x2

## Properties
* crystal system: orthorhombic
* uncorrected energy: -7.8791 eV/atom
* N(E_F): 2.26 states/eV per cell
* formation enthalpy at 0 K: 1.1634 eV per atom
* energy relative to the lowest polymorph listed for this composition: 0.706 eV/atom
* mass density: 13.4 g/cm3
* calculated volume: 12.65 Å³/atom

***

No. 20
## CeAl5Ag2 (GGA-PBE)

Data for crystalline CeAl5Ag2 at its relaxed geometry.

a = 4.132 Å, b = 7.331 Å, c = 10.294 Å
α = 90.00°, β = 90.00°, γ = 90.00°
Space group Immm (No. 71)
One atom of each set of equivalent atoms:
Ce 0.000 0.000 0.000 x2
Al 0.000 0.189 0.364 x8
Al 0.000 0.500 0.000 x2
Ag 0.000 0.500 0.250 x4

## Properties
* crystal system: orthorhombic
* uncorrected energy: -3.9894 eV/atom
* N(E_F): 17.16 states/eV per cell
* formation enthalpy at 0 K: -0.1957 eV per atom
* mass density: 5.2 g/cm3
* calculated volume: 19.49 Å³/atom